No. 1
Here is a geometry-optimized LiTaCo structure from the Alexandria database. Energies are from GGA-PBE.

## Properties
Energy relative to the elements (meV/atom): 854

Cell lengths 4.0699, 4.0699, 4.0699 Å; angles 60.00, 60.00, 60.00 degrees
Last column: nearest neighbours and their distance in Å.
Fractional positions:
Li (0.0000, 0.0000, 0.0000)  4 Ta 2.49
Ta (0.2500, 0.2500, 0.2500)  4 Co 2.49, 4 Li 2.49
Co (0.5000, 0.5000, 0.5000)  4 Ta 2.49

---

No. 2
Here is a geometry-optimized Cd6BiAu12 structure from the Alexandria database. Energies are from GGA-PBE.

## Properties
Energy relative to the elements (meV/atom): -36

Cell lengths 7.8041, 7.8041, 7.8041 Å; angles 105.88, 105.88, 105.88 degrees
Last column: nearest neighbours and their distance in Å.
Fractional positions:
Cd (0.3034, 0.3034, 0.6956)  8 Au 2.83-3.00, 2 Cd 3.06
Cd (0.3034, 0.6956, 0.3034)  8 Au 2.83-3.00, 2 Cd 3.06
Cd (0.3044, 0.6966, 0.6966)  8 Au 2.83-3.00, 2 Cd 3.06
Cd (0.6956, 0.3034, 0.3034)  8 Au 2.83-3.00, 2 Cd 3.06
Cd (0.6966, 0.3044, 0.6966)  8 Au 2.83-3.00, 2 Cd 3.06
Cd (0.6966, 0.6966, 0.3044)  8 Au 2.83-3.00, 2 Cd 3.06
Bi (0.0000, 0.0000, 0.0000)  6 Au 2.96
Au (0.0993, 0.3436, 0.3436)  4 Au 2.86-3.04, 4 Cd 2.92-3.00, 1 Bi 2.96
Au (0.1128, 0.5000, 0.8872)  3 Au 2.81-2.86, 4 Cd 2.83-2.91
Au (0.1128, 0.8872, 0.5000)  3 Au 2.81-2.86, 4 Cd 2.83-2.91
Au (0.3436, 0.0993, 0.3436)  4 Au 2.86-3.04, 4 Cd 2.92-3.00, 1 Bi 2.96
Au (0.3436, 0.3436, 0.0993)  4 Au 2.86-3.04, 4 Cd 2.92-3.00, 1 Bi 2.96
Au (0.5000, 0.1128, 0.8872)  3 Au 2.81-2.86, 4 Cd 2.83-2.91
Au (0.5000, 0.8872, 0.1128)  3 Au 2.81-2.86, 4 Cd 2.83-2.91
Au (0.6564, 0.6564, 0.9007)  4 Au 2.86-3.04, 4 Cd 2.92-3.00, 1 Bi 2.96
Au (0.6564, 0.9007, 0.6564)  4 Au 2.86-3.04, 4 Cd 2.92-3.00, 1 Bi 2.96
Au (0.8872, 0.1128, 0.5000)  3 Au 2.81-2.86, 4 Cd 2.83-2.91
Au (0.8872, 0.5000, 0.1128)  3 Au 2.81-2.86, 4 Cd 2.83-2.91
Au (0.9007, 0.6564, 0.6564)  4 Au 2.86-3.04, 4 Cd 2.92-3.00, 1 Bi 2.96

---

No. 3
Here is a geometry-optimized Cs2GePd2 structure from the Alexandria database. Energies are from GGA-PBE.

## Properties
Energy relative to the elements (meV/atom): 60

Cell lengths 6.8229, 6.8229, 6.0592 Å; angles 90.00, 90.00, 90.00 degrees
Last column: nearest neighbours and their distance in Å.
Fractional positions:
Cs (0.1807, 0.3193, 0.0000)  6 Pd 3.44-3.78, 5 Cs 3.49-3.54
Cs (0.3193, 0.8193, 0.0000)  6 Pd 3.44-3.78, 5 Cs 3.49-3.54
Cs (0.6807, 0.1807, 0.0000)  6 Pd 3.44-3.78, 5 Cs 3.49-3.54
Cs (0.8193, 0.6807, 0.0000)  6 Pd 3.44-3.78, 5 Cs 3.49-3.54
Ge (0.0000, 0.0000, 0.5000)  4 Pd 2.60
Ge (0.5000, 0.5000, 0.5000)  4 Pd 2.60
Pd (0.1500, 0.6500, 0.5000)  2 Ge 2.60, 1 Pd 2.89
Pd (0.3500, 0.1500, 0.5000)  2 Ge 2.60, 1 Pd 2.89
Pd (0.6500, 0.8500, 0.5000)  2 Ge 2.60, 1 Pd 2.89
Pd (0.8500, 0.3500, 0.5000)  2 Ge 2.60, 1 Pd 2.89

---

No. 4
Here is a geometry-optimized Ta2Ni2Mo structure from the Alexandria database. Energies are from GGA-PBE.

## Properties
Energy relative to the elements (meV/atom): -66

Cell lengths 7.0194, 7.0194, 3.0218 Å; angles 90.00, 90.00, 90.00 degrees
Last column: nearest neighbours and their distance in Å.
Fractional positions:
Ta (0.1785, 0.3215, 0.0000)  6 Ni 2.50-2.62
Ta (0.3215, 0.8215, 0.0000)  6 Ni 2.50-2.62
Ta (0.6785, 0.1785, 0.0000)  6 Ni 2.50-2.62
Ta (0.8215, 0.6785, 0.0000)  6 Ni 2.50-2.62
Ni (0.1205, 0.6205, 0.5000)  1 Ni 2.39, 6 Ta 2.50-2.62
Ni (0.3795, 0.1205, 0.5000)  1 Ni 2.39, 6 Ta 2.50-2.62
Ni (0.6205, 0.8795, 0.5000)  1 Ni 2.39, 6 Ta 2.50-2.62
Ni (0.8795, 0.3795, 0.5000)  1 Ni 2.39, 6 Ta 2.50-2.62
Mo (0.0000, 0.0000, 0.5000)  4 Ni 2.80, 8 Ta 2.99, 2 Mo 3.02
Mo (0.5000, 0.5000, 0.5000)  4 Ni 2.80, 8 Ta 2.99, 2 Mo 3.02

---

No. 5
Here is a geometry-optimized SrNbOs2 structure from the Alexandria database. Energies are from GGA-PBE.

## Properties
Energy relative to the elements (meV/atom): 930

Cell lengths 6.1004, 6.1004, 6.1004 Å; angles 103.69, 103.69, 121.77 degrees
Last column: nearest neighbours and their distance in Å.
Fractional positions:
Sr (0.0000, 0.0000, 0.0000)  2 Nb 2.97, 8 Os 3.02-3.29
Sr (0.7500, 0.2500, 0.5000)  2 Nb 2.97, 8 Os 3.02-3.29
Nb (0.2500, 0.7500, 0.5000)  4 Os 2.53
Nb (0.5000, 0.5000, 0.0000)  4 Os 2.53
Os (0.1728, 0.1250, 0.5478)  2 Nb 2.53
Os (0.3750, 0.8272, 0.9522)  2 Nb 2.53
Os (0.5772, 0.6250, 0.4522)  2 Nb 2.53
Os (0.8750, 0.4228, 0.0478)  2 Nb 2.53

---

No. 6
Here is a geometry-optimized AcZn2As2 structure from the Alexandria database. Energies are from GGA-PBE.

## Properties
Energy relative to the elements (meV/atom): -638

Cell lengths 6.1016, 4.2822, 9.5383 Å; angles 90.00, 107.62, 90.00 degrees
Last column: nearest neighbours and their distance in Å.
Fractional positions:
Ac (0.1615, 0.2500, 0.3194)  6 As 3.17-3.27, 2 Zn 3.53
Ac (0.8385, 0.7500, 0.6806)  6 As 3.17-3.27, 2 Zn 3.53
Zn (0.2023, 0.2500, 0.9446)  3 As 2.51-2.76, 1 Zn 2.55
Zn (0.3476, 0.2500, 0.7202)  3 As 2.51-2.52, 1 Zn 2.55
Zn (0.6524, 0.7500, 0.2798)  3 As 2.51-2.52, 1 Zn 2.55
Zn (0.7977, 0.7500, 0.0554)  3 As 2.51-2.76, 1 Zn 2.55
As (0.2634, 0.7500, 0.0882)  4 Zn 2.51-2.76
As (0.2879, 0.7500, 0.5759)  2 Zn 2.51
As (0.7121, 0.2500, 0.4241)  2 Zn 2.51
As (0.7366, 0.2500, 0.9118)  4 Zn 2.51-2.76

---

Respective E values: -0.224, -0.096, -0.121, -0.341, -0.280, -0.141 hartree per atom.